(1)
VASP calculation (PBE) on a relaxed Y3CuB2Pt9 crystal.

Cell: 5.7135 5.7135 9.2295 Å, 90.00 90.00 120.00°
Space group P-3m1 (No. 164)
Asymmetric unit:
Y1 0.0000 0.0000 0.0000 (multiplicity 1)
Y2 0.3333 0.6667 0.5977 (multiplicity 2)
Cu1 0.0000 0.0000 0.5000 (multiplicity 1)
B1 0.3333 0.6667 0.1515 (multiplicity 2)
Pt1 0.0000 0.5000 0.0000 (multiplicity 3)
Pt2 0.1641 0.3283 0.2885 (multiplicity 6)

Values from the calculation:
VASP energy, eV per cell: -103.193
Total magnetic moment, Bohr magnetons per cell: 0.0
E_form, eV/f.u.: -11.98
DOS(E_F), states/eV/f.u.: 5.06



(2)
VASP calculation (PBE) on a relaxed NaIn2NiPd crystal.

Cell: 5.2269 5.2269 4.6633 Å, 90.00 90.00 90.00°
Space group P4/mmm (No. 123)
Asymmetric unit:
Na1 0.0000 0.0000 0.0000 (multiplicity 1)
In1 0.0000 0.5000 0.0000 (multiplicity 2)
Ni1 0.5000 0.5000 0.5000 (multiplicity 1)
Pd1 0.0000 0.0000 0.5000 (multiplicity 1)

Values from the calculation:
VASP energy, eV per cell: -12.306
Total magnetic moment, Bohr magnetons per cell: 0.7
E_form, eV/f.u.: 5.46
DOS(E_F), states/eV/f.u.: 6.51